Here is crystalline TbH8Ir2Pb at its relaxed geometry from the Alexandria database. Energies are from PBE.

E in eV per atom: -4.406

Cell: 4.2661 4.2661 24.5254 Å, 90.00 90.00 120.00°
Space group R-3m (No. 166, hexagonal axes)
Asymmetric unit:
Tb 0.0000 0.0000 0.0000 x3
H 0.0000 0.0000 0.1836 x6
H 0.0360 0.5180 0.0452 x18
Ir 0.0000 0.0000 0.2521 x6
Pb 0.0000 0.0000 0.5000 x3



Here is crystalline TeH2IrPb at its relaxed geometry from the Alexandria database. Energies are from PBE.

E in eV per atom: -3.774

Cell: 3.841 3.841 6.854 Å, 90.00 90.00 90.00°
Space group P4/mmm (No. 123)
Asymmetric unit:
Te 0.000 0.000 0.000 x1
H 0.000 0.500 0.000 x2
Ir 0.500 0.500 0.500 x1
Pb 0.000 0.000 0.500 x1



Here is crystalline TmH8Ir2Pb at its relaxed geometry from the Alexandria database. Energies are from PBE.

E in eV per atom: -4.387

Cell: 4.2117 4.2117 24.6760 Å, 90.00 90.00 120.00°
Space group R-3m (No. 166, hexagonal axes)
Asymmetric unit:
Tm 0.0000 0.0000 0.0000 x3
H 0.0000 0.0000 0.1856 x6
H 0.0401 0.5201 0.0437 x18
Ir 0.0000 0.0000 0.2539 x6
Pb 0.0000 0.0000 0.5000 x3



Here is crystalline YH6Ir2Pb at its relaxed geometry from the Alexandria database. Energies are from PBE.

E in eV per atom: -4.980

Cell: 8.267 9.770 5.609 Å, 90.00 102.63 90.00°
Space group C2/c (No. 15)
Asymmetric unit:
Y 0.000 0.140 0.250 x4
H 0.113 0.363 0.195 x8
H 0.176 0.003 0.559 x8
H 0.187 0.246 0.596 x8
Ir 0.187 0.130 0.803 x8
Pb 0.000 0.390 0.750 x4



Here is crystalline Y2HIrPb at its relaxed geometry from the Alexandria database. Energies are from PBE.

E in eV per atom: -6.269

Cell: 4.993 4.993 3.910 Å, 90.00 90.00 90.00°
Space group P4/mmm (No. 123)
Asymmetric unit:
Y 0.000 0.500 0.000 x2
H 0.000 0.000 0.000 x1
Ir 0.000 0.000 0.500 x1
Pb 0.500 0.500 0.500 x1



Here is crystalline ZnH8Ir2Pb at its relaxed geometry from the Alexandria database. Energies are from PBE.

E in eV per atom: -3.990

Cell: 4.8055 4.8055 17.0348 Å, 90.00 90.00 120.00°
Space group R-3m (No. 166, hexagonal axes)
Asymmetric unit:
Zn 0.0000 0.0000 0.0000 x3
H 0.0000 0.0000 0.1915 x6
H 0.0321 0.5161 0.5837 x18
Ir 0.0000 0.0000 0.2843 x6
Pb 0.0000 0.0000 0.5000 x3



Here is crystalline H7IrPd3 at its relaxed geometry from the Alexandria database. Energies are from PBE.

E in eV per atom: -4.315

Cell: 7.850 5.758 5.346 Å, 90.00 132.16 90.00°
Space group Cm (No. 8)
Asymmetric unit:
H 0.000 0.000 0.000 x2
H 0.031 0.319 0.716 x4
H 0.178 0.283 0.341 x4
H 0.264 0.000 0.744 x2
H 0.424 0.000 0.280 x2
Ir 0.294 0.000 0.443 x2
Pd 0.350 0.257 0.014 x4
Pd 0.414 0.500 0.565 x2



Here is crystalline HIr3Pd at its relaxed geometry from the Alexandria database. Energies are from PBE.

Energy relative to the lowest polymorph listed for this composition in meV per atom: 2472

Cell: 4.793 4.793 4.793 Å, 90.00 90.00 90.00°
Space group Pm-3m (No. 221)
Asymmetric unit:
H 0.000 0.000 0.000 x1
Ir 0.000 0.500 0.500 x3
Pd 0.500 0.500 0.500 x1



Here is crystalline HIrPd2 at its relaxed geometry from the Alexandria database. Energies are from PBE.

Energy relative to the lowest polymorph listed for this composition in meV per atom: 71

Cell: 6.006 6.006 5.530 Å, 90.00 90.00 90.00°
Space group I-42d (No. 122)
Asymmetric unit:
H 0.000 0.000 0.000 x4
Ir 0.000 0.000 0.500 x4
Pd 0.147 0.250 0.125 x8



Here is crystalline HIrPd at its relaxed geometry from the Alexandria database. Energies are from PBE.

E in eV per atom: -5.658

Cell: 2.783 3.706 6.499 Å, 90.00 90.08 90.00°
Space group P2_1/m (No. 11)
Asymmetric unit:
H 0.250 0.250 0.047 x2
Ir 0.250 0.750 0.590 x2
Pd 0.250 0.750 0.144 x2



Here is crystalline HIrPd3 at its relaxed geometry from the Alexandria database. Energies are from PBE.

Energy relative to the lowest polymorph listed for this composition in meV per atom: 0

Cell: 3.980 3.980 3.980 Å, 90.00 90.00 90.00°
Space group Pm-3m (No. 221)
Asymmetric unit:
H 0.000 0.000 0.000 x1
Ir 0.500 0.500 0.500 x1
Pd 0.000 0.000 0.500 x3



Here is crystalline H2IrPd2 at its relaxed geometry from the Alexandria database. Energies are from PBE.

Energy relative to the lowest polymorph listed for this composition in meV per atom: 136

Cell: 6.231 6.231 2.849 Å, 90.00 90.00 90.00°
Space group P4/mbm (No. 127)
Asymmetric unit:
H 0.216 0.284 0.000 x4
Ir 0.000 0.000 0.000 x2
Pd 0.165 0.665 0.500 x4



Here is crystalline HIr2Pd2 at its relaxed geometry from the Alexandria database. Energies are from PBE.

E in eV per atom: -6.011

Cell: 5.250 5.250 4.782 Å, 90.00 90.00 90.00°
Space group P4/mbm (No. 127)
Asymmetric unit:
H 0.000 0.000 0.000 x2
Ir 0.175 0.325 0.000 x4
Pd 0.180 0.680 0.500 x4



Here is crystalline HIr2Pd at its relaxed geometry from the Alexandria database. Energies are from PBE.

Energy relative to the lowest polymorph listed for this composition in meV per atom: 0

Cell: 6.143 6.143 5.161 Å, 90.00 90.00 90.00°
Space group I-42d (No. 122)
Asymmetric unit:
H 0.000 0.000 0.000 x4
Ir 0.152 0.250 0.125 x8
Pd 0.000 0.000 0.500 x4



Here is crystalline HIrPd2 at its relaxed geometry from the Alexandria database. Energies are from PBE.

Energy relative to the lowest polymorph listed for this composition in meV per atom: 502

Cell: 6.016 6.016 6.016 Å, 90.00 90.00 90.00°
Space group Fm-3m (No. 225)
Asymmetric unit:
H 0.000 0.000 0.000 x4
Ir 0.000 0.000 0.500 x4
Pd 0.250 0.250 0.250 x8



Here is crystalline H8Ir2Pd at its relaxed geometry from the Alexandria database. Energies are from PBE.

E in eV per atom: -4.350

Cell: 5.628 7.418 3.712 Å, 90.00 98.93 90.00°
Space group C2/m (No. 12)
Asymmetric unit:
H 0.000 0.243 0.000 x4
H 0.103 0.000 0.757 x4
H 0.223 0.365 0.643 x8
Ir 0.000 0.201 0.500 x4
Pd 0.000 0.500 0.000 x2



Here is crystalline HIrPd3 at its relaxed geometry from the Alexandria database. Energies are from PBE.

Energy relative to the lowest polymorph listed for this composition in meV per atom: 1417

Cell: 4.881 4.881 4.881 Å, 90.00 90.00 90.00°
Space group Pm-3m (No. 221)
Asymmetric unit:
H 0.000 0.000 0.000 x1
Ir 0.500 0.500 0.500 x1
Pd 0.000 0.500 0.500 x3



Here is crystalline HIrPd2 at its relaxed geometry from the Alexandria database. Energies are from PBE.

Energy relative to the lowest polymorph listed for this composition in meV per atom: 0

Cell: 2.7246 2.7246 23.3681 Å, 90.00 90.00 120.00°
Space group R-3m (No. 166, hexagonal axes)
Asymmetric unit:
H 0.0000 0.0000 0.0000 x3
Ir 0.0000 0.0000 0.5000 x3
Pd 0.0000 0.0000 0.3871 x6



Here is crystalline H6IrPd3 at its relaxed geometry from the Alexandria database. Energies are from PBE.

E in eV per atom: -4.373

Cell: 8.286 2.799 8.375 Å, 90.00 118.41 90.00°
Space group P2_1/m (No. 11)
Asymmetric unit:
H 0.035 0.250 0.169 x2
H 0.157 0.750 0.648 x2
H 0.173 0.750 0.083 x2
H 0.273 0.750 0.383 x2
H 0.372 0.250 0.943 x2
H 0.431 0.750 0.255 x2
Ir 0.267 0.250 0.234 x2
Pd 0.122 0.250 0.834 x2
Pd 0.156 0.250 0.504 x2
Pd 0.426 0.750 0.822 x2



Here is crystalline H12Ir3Pd5 at its relaxed geometry from the Alexandria database. Energies are from PBE.

E in eV per atom: -4.469

Cell: 10.942 10.942 10.942 Å, 90.00 90.00 90.00°
Space group Ia-3d (No. 230)
Asymmetric unit:
H 0.007 0.076 0.659 x96
Ir 0.000 0.250 0.125 x24
Pd 0.000 0.000 0.000 x16
Pd 0.000 0.250 0.375 x24



Number 1: total magnetization 0.00 μB per atom. Number 2: total magnetization 0.05 μB per atom. Number 3: total magnetization 0.00 μB per atom. Number 4: total magnetization 0.00 μB per atom. Number 5: total magnetization 0.00 μB per atom. Number 6: total magnetization 0.00 μB per atom. Number 7: total magnetization 0.00 μB per atom. Number 8: total magnetization 0.92 μB per atom. Number 9: total magnetization 0.00 μB per atom. Number 10: total magnetization 0.00 μB per atom. Number 11: total magnetization 0.00 μB per atom. Number 12: total magnetization 0.00 μB per atom. Number 13: total magnetization 0.00 μB per atom. Number 14: total magnetization 0.00 μB per atom. Number 15: total magnetization 0.09 μB per atom. Number 16: total magnetization 0.00 μB per atom. Number 17: total magnetization 0.38 μB per atom. Number 18: total magnetization 0.00 μB per atom. Number 19: total magnetization 0.00 μB per atom. Number 20: total magnetization 0.00 μB per atom.